Entry 1:
A plane-wave DFT calculation with PBE was carried out for an optimized crystal structure of V9Ga2Sn. Values from VASP.

Computed properties:
The symmetry is Pmmm. The value obtained for the total magnetization is 0.002 μB per cell. The formation enthalpy at 0 K comes out at -0.128 eV/atom. The volume is 341.3 Å³/cell. As for the crystal system: orthorhombic.

The structure in Quantum ESPRESSO input format:
```
&SYSTEM
  ibrav = 0, nat = 24, ntyp = 3
/
ATOMIC_SPECIES
V 50.94 V.upf
Ga 69.72 Ga.upf
Sn 118.71 Sn.upf
ATOMIC_POSITIONS crystal
V 0.500 0.000 0.240
V 0.500 0.000 0.582
V 0.500 0.000 0.919
V 0.762 0.500 0.000
V 0.735 0.500 0.332
V 0.735 0.500 0.668
V 0.000 0.743 0.158
V 0.000 0.746 0.500
V 0.000 0.743 0.842
V 0.500 0.000 0.081
V 0.500 0.000 0.418
V 0.500 0.000 0.760
V 0.238 0.500 0.000
V 0.265 0.500 0.332
V 0.265 0.500 0.668
V 0.000 0.257 0.158
V 0.000 0.254 0.500
V 0.000 0.257 0.842
Ga 0.500 0.500 0.165
Ga 0.500 0.500 0.500
Ga 0.500 0.500 0.835
Ga 0.000 0.000 0.000
Sn 0.000 0.000 0.329
Sn 0.000 0.000 0.671
CELL_PARAMETERS angstrom
-3.292 -3.176 -1.572
-0.811 -1.420 4.570
-10.369 10.104 1.299
```

Entry 2:
A plane-wave DFT calculation with PBE was carried out for an optimized crystal structure of VGa2SnW. Values from VASP.

Computed properties:
The symmetry is P4/mmm. The value obtained for the total magnetization is 2.426 μB per cell. The formation enthalpy at 0 K comes out at 1.293 eV/atom. The volume is 111.1 Å³/cell. As for the crystal system: tetragonal.

The structure in Quantum ESPRESSO input format:
```
&SYSTEM
  ibrav = 0, nat = 5, ntyp = 4
/
ATOMIC_SPECIES
Ga 69.72 Ga.upf
Sn 118.71 Sn.upf
W 183.84 W.upf
V 50.94 V.upf
ATOMIC_POSITIONS crystal
Ga 0.000 0.000 0.500
Ga 0.500 0.000 0.000
Sn 0.000 0.500 0.000
W 0.500 0.500 0.500
V 0.000 0.000 0.000
CELL_PARAMETERS angstrom
4.702 0.000 0.000
0.000 5.023 0.000
0.000 0.000 4.702
```

Entry 3:
A plane-wave DFT calculation with PBE was carried out for an optimized crystal structure of V2ZnGaSn. Values from VASP.

Computed properties:
The symmetry is P4/mmm. The value obtained for the total magnetization is 3.716 μB per cell. The formation enthalpy at 0 K comes out at 0.725 eV/atom. The volume is 99.8 Å³/cell. As for the crystal system: tetragonal.

The structure in Quantum ESPRESSO input format:
```
&SYSTEM
  ibrav = 0, nat = 5, ntyp = 4
/
ATOMIC_SPECIES
Zn 65.41 Zn.upf
Sn 118.71 Sn.upf
Ga 69.72 Ga.upf
V 50.94 V.upf
ATOMIC_POSITIONS crystal
Zn 0.000 0.500 0.000
Sn 0.500 0.500 0.500
Ga 0.000 0.000 0.000
V 0.000 0.000 0.500
V 0.500 0.000 0.000
CELL_PARAMETERS angstrom
4.714 0.000 0.000
0.000 4.489 0.000
0.000 0.000 4.714
```

Entry 4:
A plane-wave DFT calculation with PBE was carried out for an optimized crystal structure of Ga3SnW. Values from VASP.

Computed properties:
The symmetry is Pm-3m. Its offset from the most stable computed form is 0.0 kJ per mole of atoms. The value obtained for the total magnetization is 0.000 μB per cell. The formation enthalpy at 0 K comes out at 0.499 eV/atom. The volume is 121.3 Å³/cell. As for the crystal system: cubic.

The structure in Quantum ESPRESSO input format:
```
&SYSTEM
  ibrav = 0, nat = 5, ntyp = 3
/
ATOMIC_SPECIES
Ga 69.72 Ga.upf
Sn 118.71 Sn.upf
W 183.84 W.upf
ATOMIC_POSITIONS crystal
Ga 0.000 0.500 0.000
Ga 0.000 0.000 0.500
Ga 0.500 0.000 0.000
Sn 0.500 0.500 0.500
W 0.000 0.000 0.000
CELL_PARAMETERS angstrom
-0.254 4.129 -2.718
-2.779 -2.370 -3.341
-4.088 1.355 2.440
```

Entry 5:
A plane-wave DFT calculation with PBE was carried out for an optimized crystal structure of GaSn3W. Values from VASP.

Computed properties:
The symmetry is Pm-3m. Its offset from the most stable computed form is 0.0 kJ per mole of atoms. The value obtained for the total magnetization is 0.000 μB per cell. The formation enthalpy at 0 K comes out at 0.488 eV/atom. The volume is 148.3 Å³/cell. As for the crystal system: cubic.

The structure in Quantum ESPRESSO input format:
```
&SYSTEM
  ibrav = 0, nat = 5, ntyp = 3
/
ATOMIC_SPECIES
Ga 69.72 Ga.upf
Sn 118.71 Sn.upf
W 183.84 W.upf
ATOMIC_POSITIONS crystal
Ga 0.500 0.500 0.500
Sn 0.000 0.500 0.000
Sn 0.000 0.000 0.500
Sn 0.500 0.000 0.000
W 0.000 0.000 0.000
CELL_PARAMETERS angstrom
5.293 0.000 0.000
0.000 5.293 0.000
0.000 0.000 5.293
```

Entry 6:
A plane-wave DFT calculation with PBE was carried out for an optimized crystal structure of GaSn3W. Values from VASP.

Computed properties:
The symmetry is Pm-3m. Its offset from the most stable computed form is 88.3 kJ per mole of atoms. The value obtained for the total magnetization is 3.762 μB per cell. The formation enthalpy at 0 K comes out at 1.403 eV/atom. The volume is 140.3 Å³/cell. As for the crystal system: cubic.

The structure in Quantum ESPRESSO input format:
```
&SYSTEM
  ibrav = 0, nat = 5, ntyp = 3
/
ATOMIC_SPECIES
Ga 69.72 Ga.upf
Sn 118.71 Sn.upf
W 183.84 W.upf
ATOMIC_POSITIONS crystal
Ga 0.000 0.000 0.000
Sn 0.000 0.500 0.000
Sn 0.000 0.000 0.500
Sn 0.500 0.000 0.000
W 0.500 0.500 0.500
CELL_PARAMETERS angstrom
5.196 0.000 0.000
0.000 5.196 0.000
0.000 0.000 5.196
```

Q: volume of number 2 (VGa2SnW)?
A: 111.1 Å³/cell

Q: The highest volume belongs to which entry?
A: V9Ga2Sn

Q: Which of these has the highest formation enthalpy at 0 K?
A: number 6

Q: Which formula does entry 6 have?
A: GaSn3W